# Sc4Zn2InAg, relaxed, DFT GGA-PBE
# Calculated formation energy, eV per formula unit: -2.83
data_Sc4Zn2InAg
_symmetry_space_group_name_H-M 'R -3 m'
_symmetry_Int_Tables_number 166
_symmetry_space_group_name_Hall '-R 3 2"'
_cell_length_a 4.8520
_cell_length_b 4.8520
_cell_length_c 23.7748
_cell_angle_alpha 90.00
_cell_angle_beta 90.00
_cell_angle_gamma 120.00
loop_
_atom_site_label
_atom_site_fract_x
_atom_site_fract_y
_atom_site_fract_z
Sc1 0.0000 0.0000 0.1221
Sc2 0.0000 0.0000 0.3725
Zn1 0.0000 0.0000 0.2497
In1 0.0000 0.0000 0.5000
Ag1 0.0000 0.0000 0.0000